No. 1
Entry from Alexandria: a geometry-optimized LiAl2Cr structure (PBEsol).

Calculated values
space group: I-4m2
DFT formation energy: 0.4 eV/f.u.

abc: 4.9437 4.9437 4.9437
angles: 137.82 137.82 61.18
Closest atoms and distances in Å follow each position.
Positions (direct):
1 Li 0.0000 0.0000 0.0000  8 Al 2.52-2.77, 4 Cr 2.77
2 Al 0.5000 0.5000 0.0000  4 Li 2.52, 4 Al 2.77, 4 Cr 2.77
3 Al 0.7500 0.2500 0.5000  4 Cr 2.52, 4 Li 2.77, 4 Al 2.77
4 Cr 0.2500 0.7500 0.5000  8 Al 2.52-2.77, 4 Li 2.77

***

No. 2
Entry from Alexandria: a geometry-optimized LiAlCr4 structure (PBEsol).

Calculated values
space group: F-43m
DFT formation energy: 2.1 eV/f.u.

abc: 4.7351 4.7351 4.7351
angles: 60.00 60.00 60.00
Closest atoms and distances in Å follow each position.
Positions (direct):
1 Li 0.0000 0.0000 0.0000  12 Cr 2.77, 4 Al 2.90
2 Al 0.7500 0.7500 0.7500  12 Cr 2.78, 4 Li 2.90
3 Cr 0.3734 0.3734 0.3734  6 Cr 2.34-2.40
4 Cr 0.3734 0.3734 0.8799  6 Cr 2.34-2.40
5 Cr 0.3734 0.8799 0.3734  6 Cr 2.34-2.40
6 Cr 0.8799 0.3734 0.3734  6 Cr 2.34-2.40

***

No. 3
Entry from Alexandria: a geometry-optimized Li2AlCr structure (PBEsol).

Calculated values
space group: I4/mmm
DFT formation energy: 1.0 eV/f.u.

abc: 5.0869 5.0869 5.0869
angles: 136.39 136.39 63.38
Closest atoms and distances in Å follow each position.
Positions (direct):
1 Li 0.2500 0.7500 0.5000  4 Li 2.67, 4 Cr 2.87, 4 Al 2.87
2 Li 0.7500 0.2500 0.5000  4 Li 2.67, 4 Cr 2.87, 4 Al 2.87
3 Al 0.0000 0.0000 0.0000  4 Cr 2.67, 8 Li 2.87
4 Cr 0.5000 0.5000 0.0000  4 Al 2.67, 8 Li 2.87

***

No. 4
Entry from Alexandria: a geometry-optimized LiAl2Cr structure (PBEsol).

Calculated values
space group: P4mm
DFT formation energy: 0.9 eV/f.u.

abc: 2.6197 2.6197 8.3881
angles: 90.00 90.00 90.00
Closest atoms and distances in Å follow each position.
Positions (direct):
1 Li 0.0000 0.0000 0.0000  4 Li 2.62, 4 Cr 2.85, 4 Al 2.90
2 Al 0.0000 0.0000 0.4758  4 Cr 2.60, 8 Al 2.62-2.85
3 Al 0.5000 0.5000 0.7346  8 Al 2.62-2.85, 4 Li 2.90
4 Cr 0.5000 0.5000 0.2585  4 Al 2.60, 4 Cr 2.62, 4 Li 2.85

***

No. 5
Entry from Alexandria: a geometry-optimized LiAl2Cr structure (PBEsol).

Calculated values
space group: Cmmm
DFT formation energy: -0.2 eV/f.u.

abc: 4.3914 4.3914 2.7423
angles: 90.00 90.00 90.39
Closest atoms and distances in Å follow each position.
Positions (direct):
1 Li 0.0000 0.0000 0.0000  8 Al 2.59, 2 Li 2.74
2 Al 0.0000 0.5000 0.5000  4 Cr 2.59, 4 Li 2.59, 2 Al 2.74
3 Al 0.5000 0.0000 0.5000  4 Cr 2.59, 4 Li 2.59, 2 Al 2.74
4 Cr 0.5000 0.5000 0.0000  8 Al 2.59, 2 Cr 2.74

***

No. 6
Entry from Alexandria: a geometry-optimized LiAl2Cr structure (PBEsol).

Calculated values
space group: Cmmm
DFT formation energy: 0.0 eV/f.u.

abc: 2.6181 2.6181 8.3800
angles: 90.00 90.00 98.62
Closest atoms and distances in Å follow each position.
Positions (direct):
1 Li 0.0000 0.0000 0.0000  4 Li 2.62, 4 Al 2.84
2 Al 0.5000 0.5000 0.2705  4 Cr 2.57-2.76, 4 Al 2.62, 2 Li 2.84
3 Al 0.5000 0.5000 0.7295  4 Cr 2.57-2.76, 4 Al 2.62, 2 Li 2.84
4 Cr 0.0000 0.0000 0.5000  8 Al 2.57-2.76, 4 Cr 2.62

***

No. 7
Entry from Alexandria: a geometry-optimized LiAlCrO4 structure (PBEsol).

Calculated values
space group: Pnma
formation energy without anion corrections: -1593 kJ/mol of formula units

abc: 9.2743 2.8441 9.8918
angles: 90.00 90.00 90.00
Closest atoms and distances in Å follow each position.
Positions (direct):
1 Li 0.1022 0.2500 0.1367  3 O 1.91-1.98
2 Li 0.3978 0.7500 0.6367  3 O 1.91-1.98
3 Li 0.6022 0.2500 0.3633  3 O 1.91-1.98
4 Li 0.8978 0.7500 0.8633  3 O 1.91-1.98
5 Al 0.0037 0.7500 0.3737  6 O 1.86-1.94
6 Al 0.4963 0.2500 0.8737  6 O 1.86-1.94
7 Al 0.5037 0.7500 0.1263  6 O 1.86-1.94
8 Al 0.9963 0.2500 0.6263  6 O 1.86-1.94
9 Cr 0.2175 0.7500 0.8561  6 O 1.83-2.00
10 Cr 0.2825 0.2500 0.3561  6 O 1.83-2.00
11 Cr 0.7175 0.7500 0.6439  6 O 1.83-2.00
12 Cr 0.7825 0.2500 0.1439  6 O 1.83-2.00
13 O 0.0782 0.7500 0.7206  1 Cr 1.86, 2 Al 1.86
14 O 0.1058 0.2500 0.4661  3 Al 1.88-1.94, 1 Cr 1.97
15 O 0.1399 0.2500 0.9470  2 Cr 1.83, 1 Li 1.91
16 O 0.1706 0.7500 0.2602  1 Al 1.91, 2 Li 1.98, 2 Cr 2.00
17 O 0.3294 0.2500 0.7602  1 Al 1.91, 2 Li 1.98, 2 Cr 2.00
18 O 0.3601 0.7500 0.4470  2 Cr 1.83, 1 Li 1.91
19 O 0.3942 0.7500 0.9661  3 Al 1.88-1.94, 1 Cr 1.97
20 O 0.4218 0.2500 0.2206  1 Cr 1.86, 2 Al 1.86
21 O 0.5782 0.7500 0.7794  1 Cr 1.86, 2 Al 1.86
22 O 0.6058 0.2500 0.0339  3 Al 1.88-1.94, 1 Cr 1.97
23 O 0.6399 0.2500 0.5530  2 Cr 1.83, 1 Li 1.91
24 O 0.6706 0.7500 0.2398  1 Al 1.91, 2 Li 1.98, 2 Cr 2.00
25 O 0.8294 0.2500 0.7398  1 Al 1.91, 2 Li 1.98, 2 Cr 2.00
26 O 0.8601 0.7500 0.0530  2 Cr 1.83, 1 Li 1.91
27 O 0.8942 0.7500 0.5339  3 Al 1.88-1.94, 1 Cr 1.97
28 O 0.9218 0.2500 0.2794  1 Cr 1.86, 2 Al 1.86

***

No. 8
Entry from Alexandria: a geometry-optimized Li2TaAlCr structure (PBEsol).

Calculated values
space group: P4/mmm
DFT formation energy: 5.7 eV/f.u.

abc: 4.0631 4.0631 4.5362
angles: 90.00 90.00 90.00
Closest atoms and distances in Å follow each position.
Positions (direct):
1 Li 0.0000 0.5000 0.0000  2 Al 2.03
2 Li 0.5000 0.0000 0.0000  2 Al 2.03
3 Ta 0.0000 0.0000 0.5000  4 Cr 2.87, 8 Li 3.04
4 Al 0.5000 0.5000 0.0000  4 Li 2.03, 2 Cr 2.27
5 Cr 0.5000 0.5000 0.5000  2 Al 2.27

***

No. 9
Entry from Alexandria: a geometry-optimized MgAlCr3 structure (PBEsol).

Calculated values
space group: Pm-3m
DFT formation energy: 9.5 eV/f.u.

abc: 4.6428 4.6428 4.6428
angles: 90.00 90.00 90.00
Closest atoms and distances in Å follow each position.
Positions (direct):
1 Mg 0.0000 0.0000 0.0000  6 Cr 2.32
2 Al 0.5000 0.5000 0.5000  12 Cr 3.28
3 Cr 0.0000 0.0000 0.5000  2 Mg 2.32
4 Cr 0.0000 0.5000 0.0000  2 Mg 2.32
5 Cr 0.5000 0.0000 0.0000  2 Mg 2.32

***

No. 10
Entry from Alexandria: a geometry-optimized MgAlCr structure (PBEsol).

Calculated values
offset from the most stable computed form: 0.3392 eV per atom
space group: F-43m
DFT formation energy: 1.9 eV/f.u.

abc: 4.3892 4.3892 4.3892
angles: 60.00 60.00 60.00
Closest atoms and distances in Å follow each position.
Positions (direct):
1 Mg 0.0000 0.0000 0.0000  4 Al 2.69
2 Al 0.7500 0.7500 0.7500  4 Cr 2.69, 4 Mg 2.69
3 Cr 0.5000 0.5000 0.5000  4 Al 2.69

***

No. 11
Entry from Alexandria: a geometry-optimized MgAl2Cr structure (PBEsol).

Calculated values
space group: Cmmm
DFT formation energy: 0.6 eV/f.u.

abc: 4.7963 4.7963 2.8987
angles: 90.00 90.00 107.96
Closest atoms and distances in Å follow each position.
Positions (direct):
1 Mg 0.0000 0.0000 0.0000  8 Al 2.80, 2 Cr 2.82, 2 Mg 2.90
2 Al 0.0000 0.5000 0.5000  4 Cr 2.80, 4 Mg 2.80, 4 Al 2.82-2.90
3 Al 0.5000 0.0000 0.5000  4 Cr 2.80, 4 Mg 2.80, 4 Al 2.82-2.90
4 Cr 0.5000 0.5000 0.0000  8 Al 2.80, 2 Mg 2.82, 2 Cr 2.90

***

No. 12
Entry from Alexandria: a geometry-optimized MgAlCr structure (PBEsol).

Calculated values
offset from the most stable computed form: 0.0814 eV per atom
space group: P3m1
DFT formation energy: 1.1 eV/f.u.

abc: 2.7796 2.7796 6.8279
angles: 90.00 90.00 120.00
Closest atoms and distances in Å follow each position.
Positions (direct):
1 Mg 0.0000 0.0000 0.0000  3 Cr 2.77, 6 Mg 2.78, 3 Al 3.01
2 Al 0.3333 0.6667 0.6264  3 Cr 2.58, 6 Al 2.78
3 Cr 0.6667 0.3333 0.3302  3 Al 2.58, 3 Mg 2.77, 6 Cr 2.78

***

No. 13
Entry from Alexandria: a geometry-optimized MgAl4Cr structure (PBEsol).

Calculated values
space group: F-43m
DFT formation energy: 1.1 eV/f.u.

abc: 5.0978 5.0978 5.0978
angles: 60.00 60.00 60.00
Closest atoms and distances in Å follow each position.
Positions (direct):
1 Mg 0.0000 0.0000 0.0000  12 Al 2.99, 4 Cr 3.12
2 Al 0.3752 0.3752 0.3752  6 Al 2.54-2.55
3 Al 0.3752 0.3752 0.8744  6 Al 2.54-2.55
4 Al 0.3752 0.8744 0.3752  6 Al 2.54-2.55
5 Al 0.8744 0.3752 0.3752  6 Al 2.54-2.55
6 Cr 0.7500 0.7500 0.7500  12 Al 2.99, 4 Mg 3.12

***

No. 14
Entry from Alexandria: a geometry-optimized MgAlCr2 structure (PBEsol).

Calculated values
space group: Cm
DFT formation energy: 1.5 eV/f.u.

abc: 4.5077 4.5077 4.9449
angles: 92.63 92.63 33.02
Closest atoms and distances in Å follow each position.
Positions (direct):
1 Mg 0.0000 0.0000 0.0000  2 Mg 2.56, 3 Al 2.58-2.79, 7 Cr 2.61-2.86
2 Al 0.2496 0.2496 0.7345  2 Al 2.56, 3 Mg 2.58-2.79, 5 Cr 2.61-2.66
3 Cr 0.5142 0.5142 0.4836  3 Cr 2.33-2.56
4 Cr 0.7498 0.7498 0.2744  3 Cr 2.33-2.56

***

No. 15
Entry from Alexandria: a geometry-optimized MgAlCr structure (PBEsol).

Calculated values
offset from the most stable computed form: 0.0000 eV per atom
space group: Fmm2
DFT formation energy: 0.9 eV/f.u.

abc: 6.8051 6.6999 2.6623
angles: 80.86 76.42 22.72
Closest atoms and distances in Å follow each position.
Positions (direct):
1 Mg 0.0000 0.0000 0.0000  4 Mg 2.66, 4 Cr 2.73-2.98, 2 Al 2.98
2 Al 0.6894 0.6894 0.3106  4 Cr 2.52-2.79, 4 Al 2.66
3 Cr 0.3342 0.3342 0.6658  4 Al 2.52-2.79, 4 Cr 2.66, 2 Mg 2.73

***

No. 16
Entry from Alexandria: a geometry-optimized MgAl2Cr structure (PBEsol).

Calculated values
space group: I4/mmm
DFT formation energy: 0.3 eV/f.u.

abc: 4.8555 4.8555 4.8555
angles: 133.69 133.69 67.57
Closest atoms and distances in Å follow each position.
Positions (direct):
1 Mg 0.0000 0.0000 0.0000  4 Cr 2.70, 8 Al 2.78
2 Al 0.2500 0.7500 0.5000  4 Al 2.70, 4 Cr 2.78, 4 Mg 2.78
3 Al 0.7500 0.2500 0.5000  4 Al 2.70, 4 Cr 2.78, 4 Mg 2.78
4 Cr 0.5000 0.5000 0.0000  4 Mg 2.70, 8 Al 2.78

***

No. 17
Entry from Alexandria: a geometry-optimized MgAlCr2 structure (PBEsol).

Calculated values
space group: C2/m
DFT formation energy: 1.8 eV/f.u.

abc: 4.6375 4.6375 4.8197
angles: 97.51 97.51 32.26
Closest atoms and distances in Å follow each position.
Positions (direct):
1 Mg 0.0000 0.0000 0.0000  2 Mg 2.58, 6 Cr 2.64-2.79, 4 Al 2.73
2 Al 0.5000 0.5000 0.5000  2 Al 2.58, 6 Cr 2.63-2.71, 4 Mg 2.73
3 Cr 0.2415 0.2415 0.7372  6 Cr 2.58-2.83, 3 Al 2.63-2.71, 3 Mg 2.64-2.79
4 Cr 0.7585 0.7585 0.2628  6 Cr 2.58-2.83, 3 Al 2.63-2.71, 3 Mg 2.64-2.79

***

No. 18
Entry from Alexandria: a geometry-optimized MgAl2Cr structure (PBEsol).

Calculated values
space group: P4mm
DFT formation energy: 1.0 eV/f.u.

abc: 2.7064 2.7064 8.4413
angles: 90.00 90.00 90.00
Closest atoms and distances in Å follow each position.
Positions (direct):
1 Mg 0.0000 0.0000 0.0000  4 Mg 2.71, 4 Cr 2.83
2 Al 0.0000 0.0000 0.5394  4 Cr 2.63, 8 Al 2.71-2.88
3 Al 0.5000 0.5000 0.2840  8 Al 2.71-2.88
4 Cr 0.5000 0.5000 0.7525  4 Al 2.63, 4 Cr 2.71, 4 Mg 2.83

***

No. 19
Entry from Alexandria: a geometry-optimized Mg2Al3CrS8 structure (PBEsol).

Calculated values
space group: R-3m
formation energy without anion corrections: -1539 kJ/mol of formula units

abc: 7.1749 7.1749 7.1749
angles: 59.79 59.79 59.79
Closest atoms and distances in Å follow each position.
Positions (direct):
1 Mg 0.1255 0.1255 0.1255  4 S 2.40-2.42
2 Mg 0.8745 0.8745 0.8745  4 S 2.40-2.42
3 Al 0.0000 0.5000 0.5000  6 S 2.42
4 Al 0.5000 0.0000 0.5000  6 S 2.42
5 Al 0.5000 0.5000 0.0000  6 S 2.42
6 Cr 0.5000 0.5000 0.5000  6 S 2.40
7 S 0.2620 0.2620 0.2620  1 Mg 2.40, 3 Al 2.42
8 S 0.2637 0.2637 0.7122  1 Cr 2.40, 1 Mg 2.42, 2 Al 2.42
9 S 0.2637 0.7122 0.2637  1 Cr 2.40, 1 Mg 2.42, 2 Al 2.42
10 S 0.2878 0.7363 0.7363  1 Cr 2.40, 1 Mg 2.42, 2 Al 2.42
11 S 0.7122 0.2637 0.2637  1 Cr 2.40, 1 Mg 2.42, 2 Al 2.42
12 S 0.7363 0.2878 0.7363  1 Cr 2.40, 1 Mg 2.42, 2 Al 2.42
13 S 0.7363 0.7363 0.2878  1 Cr 2.40, 1 Mg 2.42, 2 Al 2.42
14 S 0.7380 0.7380 0.7380  1 Mg 2.40, 3 Al 2.42

***

No. 20
Entry from Alexandria: a geometry-optimized MnAlCr structure (PBEsol).

Calculated values
offset from the most stable computed form: 0.2479 eV per atom
space group: Fmm2
DFT formation energy: 0.1 eV/f.u.

abc: 6.3641 6.1725 2.5274
angles: 82.66 74.14 23.20
Closest atoms and distances in Å follow each position.
Positions (direct):
1 Mn 0.0000 0.0000 0.0000  2 Cr 2.32, 2 Al 2.49, 4 Mn 2.53
2 Al 0.3296 0.3296 0.6704  2 Mn 2.49, 4 Al 2.53, 2 Cr 2.54
3 Cr 0.6536 0.6536 0.3464  2 Mn 2.32, 4 Cr 2.53, 2 Al 2.54